P | A relaxed structure of InFeB4. Source: OQMD via LeMat-Bulk, functional PBE.

a b c (Å): 4.731 4.731 4.731
angles (deg): 142.27 112.11 80.37
Element x y z (fractional)
In  0.000  0.000  0.000
Fe  0.500  0.500  0.000
B  0.089  0.754  0.335
B  0.419  0.754  0.665
B  0.581  0.246  0.335
B  0.911  0.246  0.665

Summary:
Magnetization ... 2.7 Bohr magnetons per cell
Theoretical density ... 6.1 g/cm3
Crystal system ... orthorhombic

Q | A relaxed structure of InFeB4. Source: OQMD via LeMat-Bulk, functional PBE.

a b c (Å): 2.981 2.981 8.429
angles (deg): 90.00 90.00 120.00
Element x y z (fractional)
In  0.000  0.000  0.000
Fe  0.000  0.000  0.500
B  0.333  0.667  0.323
B  0.333  0.667  0.677
B  0.667  0.333  0.323
B  0.667  0.333  0.677

Summary:
Magnetization ... 2.3 Bohr magnetons per cell
Theoretical density ... 5.5 g/cm3
Crystal system ... hexagonal

Of the structures shown above, Q is the most stable.